Below is crystalline RbHfOs2Cl at its relaxed geometry, with properties calculated at the GGA-PBE level.

Cell lengths 4.8353, 4.8353, 5.3497 Å; angles 90.00, 90.00, 90.00 degrees
Positions (direct):
Rb 0.0000 0.0000 0.0000
Hf 0.0000 0.0000 0.5000
Os 0.0000 0.5000 0.0000
Os 0.5000 0.0000 0.0000
Cl 0.5000 0.5000 0.5000

Output
As for the space-group type: P4/mmm (123). Its electronic total energy is -0.1337 hartree per atom. The value obtained for the uncorrected formation energy is 3408 meV/atom.